1.
# Li2CaDy

Li2CaDy after structural relaxation (PBE-GGA, Alexandria).

Cell: 7.632 7.632 7.632 Å, 90.00 90.00 90.00°
Space group Fm-3m (No. 225)
Inequivalent atoms, fractional coordinates:
Li1 0.250 0.250 0.250 x8
Ca1 0.000 0.000 0.000 x4
Dy1 0.000 0.000 0.500 x4

## Properties
formation energy: 0.142 eV per atom
E above lowest polymorph: 35 meV/atom

---

2.
# Mn2SbBr8

Mn2SbBr8 after structural relaxation (PBE-GGA, Alexandria).

Cell: 13.236 8.308 8.294 Å, 90.00 91.32 90.00°
Space group C2/m (No. 12)
Inequivalent atoms, fractional coordinates:
Mn1 0.129 0.000 0.360 x4
Sb1 0.000 0.000 0.000 x2
Br1 0.070 0.000 0.669 x4
Br2 0.130 0.226 0.150 x8
Br3 0.201 0.500 0.554 x4

## Properties
E_form (uncorrected): -0.566 eV per atom

---

3.
# CdTeAu

CdTeAu after structural relaxation (PBE-GGA, Alexandria).

Cell: 13.255 4.640 5.634 Å, 90.00 111.76 90.00°
Space group Cm (No. 8)
Inequivalent atoms, fractional coordinates:
Cd1 0.000 0.000 0.000 x2
Cd2 0.128 0.500 0.506 x2
Te1 0.183 0.000 0.835 x2
Te2 0.333 0.500 0.398 x2
Au1 0.413 0.000 0.674 x2
Au2 0.414 0.000 0.165 x2

## Properties
E_form (uncorrected): -0.146 eV per atom
E above lowest polymorph: 25 meV/atom

---

4.
# Zr3TiBi

Zr3TiBi after structural relaxation (PBE-GGA, Alexandria).

Cell: 5.025 6.716 13.609 Å, 100.62 90.11 90.01°
Space group P-1 (No. 2)
Inequivalent atoms, fractional coordinates:
Zr1 0.247 0.262 0.073 x2
Zr2 0.250 0.800 0.468 x2
Zr3 0.251 0.129 0.668 x2
Zr4 0.251 0.617 0.669 x2
Zr5 0.252 0.455 0.892 x2
Zr6 0.252 0.966 0.881 x2
Ti1 0.250 0.316 0.473 x2
Ti2 0.250 0.784 0.070 x2
Bi1 0.249 0.086 0.271 x2
Bi2 0.249 0.586 0.256 x2

## Properties
formation energy: -0.069 eV per atom
E above lowest polymorph: 0 meV/atom

---

Repeat the first record exactly.
# Li2CaDy

Li2CaDy after structural relaxation (PBE-GGA, Alexandria).

Cell: 7.632 7.632 7.632 Å, 90.00 90.00 90.00°
Space group Fm-3m (No. 225)
Inequivalent atoms, fractional coordinates:
Li1 0.250 0.250 0.250 x8
Ca1 0.000 0.000 0.000 x4
Dy1 0.000 0.000 0.500 x4

## Properties
formation energy: 0.142 eV per atom
E above lowest polymorph: 35 meV/atom